VASP calculation (PBE) on a relaxed Tb3Y4Co2 crystal.

Properties
- DFT formation energy: -0.09 eV/atom
- Space-group type: No. 12

a b c (Å): 8.413 8.413 8.961
angles (deg): 113.08 113.08 25.01
Atoms (fractional coordinates):
1 Tb 0.000 0.000 0.000
2 Tb 0.072 0.072 0.693
3 Tb 0.928 0.928 0.307
4 Y 0.228 0.228 0.146
5 Y 0.363 0.363 0.606
6 Y 0.637 0.637 0.394
7 Y 0.772 0.772 0.854
8 Co 0.383 0.383 0.066
9 Co 0.617 0.617 0.934

---

VASP calculation (PBE) on a relaxed Ce3Ni2As4 crystal.

Properties
- DFT formation energy: -0.96 eV/atom
- Space-group type: No. 12

a b c (Å): 5.972 5.972 8.349
angles (deg): 105.89 105.89 41.52
Atoms (fractional coordinates):
1 Ce 0.000 0.000 0.000
2 Ce 0.335 0.335 0.319
3 Ce 0.665 0.665 0.681
4 Ni 0.414 0.414 0.704
5 Ni 0.586 0.586 0.296
6 As 0.074 0.074 0.397
7 As 0.305 0.305 0.906
8 As 0.695 0.695 0.094
9 As 0.926 0.926 0.603

---

VASP calculation (PBE) on a relaxed K4Ho3SnSe8 crystal.

Properties
- Space-group type: No. 166
- Formation energy from raw total energies: -1499.9 meV/atom

a b c (Å): 9.083 9.083 9.083
angles (deg): 55.20 55.20 55.20
Atoms (fractional coordinates):
1 K 0.000 0.000 0.000
2 K 0.000 0.500 0.500
3 K 0.500 0.000 0.500
4 K 0.500 0.500 0.000
5 Ho 0.000 0.000 0.500
6 Ho 0.000 0.500 0.000
7 Ho 0.500 0.000 0.000
8 Sn 0.500 0.500 0.500
9 Se 0.233 0.735 0.735
10 Se 0.235 0.235 0.235
11 Se 0.265 0.265 0.767
12 Se 0.265 0.767 0.265
13 Se 0.735 0.233 0.735
14 Se 0.735 0.735 0.233
15 Se 0.765 0.765 0.765
16 Se 0.767 0.265 0.265

---

VASP calculation (PBE) on a relaxed Co2Pb2Au crystal.

Properties
- DFT formation energy: 0.31 eV/atom
- Space-group type: No. 127

a b c (Å): 6.857 6.857 3.989
angles (deg): 90.00 90.00 90.00
Atoms (fractional coordinates):
1 Co 0.122 0.378 0.000
2 Co 0.378 0.878 0.000
3 Co 0.622 0.122 0.000
4 Co 0.878 0.622 0.000
5 Pb 0.175 0.675 0.500
6 Pb 0.325 0.175 0.500
7 Pb 0.675 0.825 0.500
8 Pb 0.825 0.325 0.500
9 Au 0.000 0.000 0.000
10 Au 0.500 0.500 0.000